{
  "formula": "NiSn2F6",
  "functional": "PBE with a Hubbard U",
  "state": "relaxed",
  "cell": [[4.815, -5.882, 0.000], [4.815, 5.882, 0.000], [-1.036, 0.000, 5.175]],
  "species": ["Ni", "Ni", "Sn", "Sn", "Sn", "Sn", "F", "F", "F", "F", "F", "F", "F", "F", "F", "F", "F", "F"],
  "frac_coords": [[0.072, 0.928, 0.750], [0.928, 0.072, 0.250], [0.216, 0.458, 0.884], [0.458, 0.216, 0.384], [0.542, 0.784, 0.616], [0.784, 0.542, 0.116], [0.066, 0.171, 0.611], [0.067, 0.675, 0.847], [0.171, 0.066, 0.111], [0.305, 0.518, 0.516], [0.325, 0.933, 0.653], [0.482, 0.695, 0.984], [0.518, 0.305, 0.016], [0.675, 0.067, 0.347], [0.695, 0.482, 0.484], [0.829, 0.934, 0.889], [0.933, 0.325, 0.153], [0.934, 0.829, 0.389]],
  "spacegroup": "C2/c, No. 15",
  "total_energy_ry_per_atom": -0.340,
  "dos_ef_per_ev_atom": 0.000,
  "mass_density_g_cm3": 4.65
}